Entry 1:
Computed, not measured: a relaxed YCu2ClO crystal at the PBE level of DFT.

abc: 4.0692 4.9226 4.0692
angles: 90.00 90.00 90.00
With the nearest neighbours (Å) after each atom.
Positions (direct):
Cl 0.5000 0.5000 0.5000  4 Y 2.88, 8 Cu 3.19
Cu 0.5000 0.0000 0.0000  2 O 2.03
O 0.0000 0.0000 0.0000  4 Cu 2.03
Y 0.0000 0.5000 0.0000  2 O 2.46
Cu 0.0000 0.0000 0.5000  2 O 2.03

**Raw formation energy**: -708 meV per atom


Entry 2:
Computed, not measured: a relaxed ZnCu3Cl2O6 crystal at the PBE level of DFT.

abc: 6.1481 6.1481 5.2224
angles: 90.00 90.00 120.00
With the nearest neighbours (Å) after each atom.
Positions (direct):
Cu 0.0000 0.5000 0.0000  4 O 1.86
O 0.6317 0.8159 0.8516  2 Cu 1.86
O 0.8159 0.1841 0.1484  2 Cu 1.86
O 0.1841 0.3683 0.8516  2 Cu 1.86
Cl 0.3333 0.6667 0.3880  3 Cu 2.69, 3 O 2.90
O 0.8159 0.6317 0.1484  2 Cu 1.86
Cl 0.6667 0.3333 0.6120  3 Cu 2.69, 3 O 2.90
O 0.3683 0.1841 0.1484  2 Cu 1.86
O 0.1841 0.8159 0.8516  2 Cu 1.86
Cu 0.5000 0.5000 0.0000  4 O 1.86
Zn 0.0000 0.0000 0.0000  6 O 2.11
Cu 0.5000 0.0000 0.0000  4 O 1.86

**Raw formation energy**: -307 meV per atom


Entry 3:
Computed, not measured: a relaxed ZrCu2ClO crystal at the PBE level of DFT.

abc: 3.7192 5.8580 3.7192
angles: 90.00 90.00 90.00
With the nearest neighbours (Å) after each atom.
Positions (direct):
O 0.0000 0.0000 0.0000  4 Cu 1.86
Cu 0.5000 0.0000 0.0000  2 O 1.86
Cu 0.0000 0.0000 0.5000  2 O 1.86
Cl 0.0000 0.5000 0.0000  4 Zr 2.63, 2 O 2.93
Zr 0.5000 0.5000 0.5000  4 Cl 2.63

**Raw formation energy**: -199 meV per atom


Entry 4:
Computed, not measured: a relaxed CuOsCl crystal at the PBE level of DFT.

abc: 6.7990 6.4412 2.9331
angles: 84.13 70.46 25.41
With the nearest neighbours (Å) after each atom.
Positions (direct):
Cu 0.3329 0.3329 0.6671  2 Os 2.52, 2 Cl 2.53, 2 Cu 2.78
Os 0.6661 0.6661 0.3339  2 Cl 2.50, 2 Cu 2.52, 2 Os 2.78
Cl 0.0010 0.0010 0.9990  2 Os 2.50, 2 Cu 2.53, 2 Cl 2.78

**Raw formation energy**: 729 meV per atom


Entry 5:
Computed, not measured: a relaxed Cu2OsCl6 crystal at the PBE level of DFT.

abc: 5.8874 9.4169 9.4169
angles: 92.04 94.68 94.68
With the nearest neighbours (Å) after each atom.
Positions (direct):
Cl 0.3773 0.7132 0.0739  1 Os 2.27
Cu 0.2924 0.6055 0.6050  2 Cl 2.14
Cl 0.9545 0.4997 0.2715  2 Cu 2.14
Cl 0.8893 0.8323 0.9603  2 Os 2.38-2.42
Os 0.2500 0.9346 0.0654  6 Cl 2.27-2.42
Cl 0.8773 0.0739 0.7132  1 Os 2.27
Cl 0.1227 0.9261 0.2868  1 Os 2.27
Cu 0.2076 0.3950 0.3945  2 Cl 2.14
Os 0.7500 0.0654 0.9346  6 Cl 2.27-2.42
Cl 0.0455 0.5003 0.7285  2 Cu 2.14
Cl 0.3893 0.9603 0.8323  2 Os 2.38-2.42
Cl 0.6107 0.0397 0.1677  2 Os 2.38-2.42
Cl 0.4545 0.2715 0.4997  2 Cu 2.14
Cu 0.7076 0.3945 0.3950  2 Cl 2.14
Cl 0.5455 0.7285 0.5003  2 Cu 2.14
Cu 0.7924 0.6050 0.6055  2 Cl 2.14
Cl 0.1107 0.1677 0.0397  2 Os 2.38-2.42
Cl 0.6227 0.2868 0.9261  1 Os 2.27

**Raw formation energy**: -381 meV per atom


Entry 6:
Computed, not measured: a relaxed Cu2OsCl crystal at the PBE level of DFT.

abc: 6.9044 6.9044 5.4770
angles: 50.93 50.93 90.00
With the nearest neighbours (Å) after each atom.
Positions (direct):
Cu 0.1381 0.6250 0.2500  2 Cl 2.46, 2 Cu 2.49, 2 Os 2.58
Cl 0.2500 0.7500 0.5000  4 Cu 2.46, 2 Os 2.48
Cl 0.5000 0.5000 0.0000  4 Cu 2.46, 2 Os 2.48
Cu 0.3750 0.3881 0.7500  2 Cl 2.46, 2 Cu 2.49, 2 Os 2.58
Cu 0.6119 0.1250 0.2500  2 Cl 2.46, 2 Cu 2.49, 2 Os 2.58
Os 0.0000 0.0000 0.0000  2 Cl 2.48, 4 Cu 2.58
Os 0.7500 0.2500 0.5000  2 Cl 2.48, 4 Cu 2.58
Cu 0.8750 0.8619 0.7500  2 Cl 2.46, 2 Cu 2.49, 2 Os 2.58

**Raw formation energy**: 971 meV per atom


Entry 7:
Computed, not measured: a relaxed Cu2OsCl crystal at the PBE level of DFT.

abc: 4.3218 4.3218 4.3218
angles: 60.00 60.00 60.00
With the nearest neighbours (Å) after each atom.
Positions (direct):
Os 0.7500 0.7500 0.7500  4 Cl 2.65, 4 Cu 2.65
Cu 0.2500 0.2500 0.2500  4 Cl 2.65, 4 Cu 2.65
Cl 0.5000 0.5000 0.5000  4 Cu 2.65, 4 Os 2.65
Cu 0.0000 0.0000 0.0000  4 Os 2.65, 4 Cu 2.65

**Raw formation energy**: 1059 meV per atom


Entry 8:
Computed, not measured: a relaxed Cu2OsCl crystal at the PBE level of DFT.

abc: 2.8181 2.8181 7.3302
angles: 90.00 90.00 90.00
With the nearest neighbours (Å) after each atom.
Positions (direct):
Cu 0.0000 0.0000 0.4893  4 Os 2.65, 4 Cl 2.76, 4 Cu 2.82
Cu 0.0000 0.0000 0.0107  4 Os 2.65, 4 Cl 2.76, 4 Cu 2.82
Os 0.5000 0.5000 0.2500  8 Cu 2.65, 4 Os 2.82
Cl 0.5000 0.5000 0.7500  8 Cu 2.76, 4 Cl 2.82

**Raw formation energy**: 521 meV per atom